1.
! NaHfSb2I PBE-GGA relaxed; values from VASP
! - ρ (g cm⁻³) = 5.1
! - V (Å³ per cell) = 185.7
! - polymorph energy (0 for the lowest one) (eV/atom) = 0.000
! - final energy (eV/atom) = -4.39
! - raw formation energy (meV per atom) = -180
&SYSTEM
  ibrav = 0, nat = 5, ntyp = 4
/
ATOMIC_SPECIES
I 126.90 I.upf
Sb 121.76 Sb.upf
Na 22.99 Na.upf
Hf 178.49 Hf.upf
CELL_PARAMETERS angstrom
5.489 0.000 0.000
0.000 5.489 0.000
0.000 0.000 6.163
ATOMIC_POSITIONS crystal
I 0.000 0.000 0.500
Sb 0.500 0.000 0.000
Na 0.500 0.500 0.500
Sb 0.000 0.500 0.000
Hf 0.000 0.000 0.000

***

2.
! NaHf2ScI PBE-GGA relaxed; values from VASP
! - ρ (g cm⁻³) = 6.1
! - V (Å³ per cell) = 150.9
! - final energy (eV/atom) = -4.87
! - raw formation energy (meV per atom) = 949
&SYSTEM
  ibrav = 0, nat = 5, ntyp = 4
/
ATOMIC_SPECIES
Na 22.99 Na.upf
I 126.90 I.upf
Hf 178.49 Hf.upf
Sc 44.96 Sc.upf
CELL_PARAMETERS angstrom
5.312 0.000 0.000
0.000 5.350 0.000
0.000 0.000 5.312
ATOMIC_POSITIONS crystal
Na 0.500 0.500 0.500
I 0.000 0.000 0.000
Hf 0.000 0.000 0.500
Sc 0.000 0.500 0.000
Hf 0.500 0.000 0.000

***

3.
! NaHfTeI2 PBE-GGA relaxed; values from VASP
! - ρ (g cm⁻³) = 5.2
! - V (Å³ per cell) = 187.0
! - polymorph energy (0 for the lowest one) (eV/atom) = 0.000
! - final energy (eV/atom) = -4.07
! - raw formation energy (meV per atom) = -566
&SYSTEM
  ibrav = 0, nat = 5, ntyp = 4
/
ATOMIC_SPECIES
Hf 178.49 Hf.upf
I 126.90 I.upf
Na 22.99 Na.upf
Te 127.60 Te.upf
CELL_PARAMETERS angstrom
-5.071 0.443 -2.722
2.177 -2.855 -4.521
-1.645 -4.857 2.274
ATOMIC_POSITIONS crystal
Hf 0.000 0.000 0.000
I 0.500 0.000 0.000
I 0.000 0.500 0.000
Na 0.500 0.500 0.500
Te 0.000 0.000 0.500

***

Number 2 is which compound?
NaHf2ScI

***

V of number 3 (NaHfTeI2)?
187.0 Å³ per cell